No. 1
The following is a PBE-GGA calculation of crystalline Pr3Sm2Tm3 at its relaxed geometry, from Alexandria via LeMat-Bulk.

Summary:
N(E_F): 15.61 states/eV/f.u.
Calculated formation energy: 1.0 eV/f.u.
Polymorph energy (0 for the lowest one): 100 meV per atom
Total moment: 0.00 μB per cell
Space-group type: Immm (71)
Crystal system: orthorhombic

abc: 5.988 6.009 8.532
angles: 110.61 110.54 90.00
Element x y z (fractional)
Pr: 0.370 0.870 0.741
Pr: 0.500 0.500 0.000
Pr: 0.630 0.130 0.259
Sm: 0.755 0.754 0.509
Sm: 0.245 0.246 0.491
Tm: 0.877 0.377 0.755
Tm: 0.123 0.623 0.245
Tm: 0.000 0.000 0.000

No. 2
The following is a PBE-GGA calculation of crystalline Pr10Sm4Tm at its relaxed geometry, from Alexandria via LeMat-Bulk.

Summary:
N(E_F): 24.26 states/eV/f.u.
Calculated formation energy: 10.3 eV/f.u.
Total moment: 0.00 μB per cell
Space-group type: I4/m (87)
Crystal system: tetragonal

abc: 7.901 9.678 9.678
angles: 80.41 65.91 65.91
Element x y z (fractional)
Pr: 0.250 0.500 0.500
Pr: 0.653 0.298 0.900
Pr: 0.050 0.100 0.298
Pr: 0.447 0.900 0.702
Pr: 0.850 0.702 0.100
Pr: 0.347 0.702 0.100
Pr: 0.750 0.500 0.500
Pr: 0.150 0.298 0.900
Pr: 0.553 0.100 0.298
Pr: 0.950 0.900 0.702
Sm: 0.399 0.801 0.400
Sm: 0.799 0.600 0.801
Sm: 0.201 0.400 0.199
Sm: 0.601 0.199 0.600
Tm: 0.000 0.000 0.000

No. 3
The following is a PBE-GGA calculation of crystalline Pr8Sm4Tm3 at its relaxed geometry, from Alexandria via LeMat-Bulk.

Summary:
N(E_F): 23.67 states/eV/f.u.
Calculated formation energy: 4.7 eV/f.u.
Total moment: 0.00 μB per cell
Space-group type: C2/m (12)
Crystal system: monoclinic

abc: 6.921 9.324 9.324
angles: 82.86 111.06 111.06
Element x y z (fractional)
Pr: 0.296 0.246 0.246
Pr: 0.000 0.703 0.297
Pr: 0.831 0.299 0.299
Pr: 0.500 0.752 0.248
Pr: 0.500 0.248 0.752
Pr: 0.169 0.701 0.701
Pr: 0.000 0.297 0.703
Pr: 0.704 0.754 0.754
Sm: 0.500 0.000 0.000
Sm: 0.000 0.500 0.000
Sm: 0.000 0.000 0.000
Sm: 0.000 0.000 0.500
Tm: 0.500 0.500 0.000
Tm: 0.500 0.000 0.500
Tm: 0.500 0.500 0.500

No. 4
The following is a PBE-GGA calculation of crystalline Pr7Sm12Tm at its relaxed geometry, from Alexandria via LeMat-Bulk.

Summary:
N(E_F): 28.66 states/eV/f.u.
Calculated formation energy: 12.1 eV/f.u.
Polymorph energy (0 for the lowest one): 382 meV per atom
Total moment: 0.00 μB per cell
Space-group type: Im-3 (204)
Crystal system: cubic

abc: 10.017 10.017 10.017
angles: 109.47 109.47 109.47
Element x y z (fractional)
Pr: 0.500 0.500 0.000
Pr: 0.000 0.500 0.500
Pr: 0.500 0.000 0.500
Pr: 0.500 0.500 0.500
Pr: 0.000 0.000 0.500
Pr: 0.500 0.000 0.000
Pr: 0.000 0.500 0.000
Sm: 0.510 0.755 0.755
Sm: 0.001 0.755 0.245
Sm: 0.490 0.245 0.245
Sm: 0.999 0.245 0.755
Sm: 0.755 0.999 0.245
Sm: 0.755 0.510 0.755
Sm: 0.245 0.001 0.755
Sm: 0.245 0.490 0.245
Sm: 0.755 0.755 0.510
Sm: 0.245 0.245 0.490
Sm: 0.755 0.245 0.001
Sm: 0.245 0.755 0.999
Tm: 0.000 0.000 0.000

No. 5
The following is a PBE-GGA calculation of crystalline PrSmTm5 at its relaxed geometry, from Alexandria via LeMat-Bulk.

Summary:
N(E_F): 7.36 states/eV/f.u.
Calculated formation energy: 6.9 eV/f.u.
Polymorph energy (0 for the lowest one): 788 meV per atom
Total moment: 0.00 μB per cell
Space-group type: Imm2 (44)
Crystal system: orthorhombic

abc: 6.164 7.980 7.689
angles: 121.26 113.63 90.00
Element x y z (fractional)
Pr: 0.940 0.000 0.000
Sm: 0.698 0.500 0.000
Tm: 0.182 0.258 0.515
Tm: 0.172 0.500 0.000
Tm: 0.667 0.742 0.485
Tm: 0.435 0.819 0.000
Tm: 0.435 0.181 0.000

No. 6
The following is a PBE-GGA calculation of crystalline Pr8SmTm6 at its relaxed geometry, from Alexandria via LeMat-Bulk.

Summary:
N(E_F): 24.35 states/eV/f.u.
Calculated formation energy: 2.7 eV/f.u.
Polymorph energy (0 for the lowest one): 11 meV per atom
Total moment: 0.00 μB per cell
Space-group type: P-3 (147)
Crystal system: trigonal

abc: 6.540 9.485 9.485
angles: 120.00 90.00 90.00
Element x y z (fractional)
Pr: 0.827 0.042 0.289
Pr: 0.827 0.711 0.753
Pr: 0.827 0.247 0.958
Pr: 0.173 0.958 0.711
Pr: 0.173 0.289 0.247
Pr: 0.173 0.753 0.042
Pr: 0.874 0.333 0.667
Pr: 0.126 0.667 0.333
Sm: 0.500 0.000 0.000
Tm: 0.662 0.655 0.098
Tm: 0.662 0.902 0.556
Tm: 0.662 0.444 0.345
Tm: 0.338 0.345 0.902
Tm: 0.338 0.098 0.444
Tm: 0.338 0.556 0.655

No. 7
The following is a PBE-GGA calculation of crystalline PrSm10Tm4 at its relaxed geometry, from Alexandria via LeMat-Bulk.

Summary:
N(E_F): 25.10 states/eV/f.u.
Calculated formation energy: 6.9 eV/f.u.
Total moment: 0.00 μB per cell
Space-group type: I4/m (87)
Crystal system: tetragonal

abc: 10.772 8.836 8.836
angles: 68.19 52.44 52.44
Element x y z (fractional)
Pr: 0.000 0.000 0.000
Sm: 0.250 0.500 0.500
Sm: 0.711 0.343 0.894
Sm: 0.946 0.106 0.343
Sm: 0.395 0.894 0.657
Sm: 0.948 0.657 0.106
Sm: 0.289 0.657 0.106
Sm: 0.750 0.500 0.500
Sm: 0.052 0.343 0.894
Sm: 0.605 0.106 0.343
Sm: 0.054 0.894 0.657
Tm: 0.556 0.664 0.223
Tm: 0.780 0.777 0.664
Tm: 0.220 0.223 0.336
Tm: 0.444 0.336 0.777

No. 8
The following is a PBE-GGA calculation of crystalline Pr15SmTm4 at its relaxed geometry, from Alexandria via LeMat-Bulk.

Summary:
N(E_F): 26.39 states/eV/f.u.
Calculated formation energy: 0.2 eV/f.u.
Total moment: 0.00 μB per cell
Space-group type: P4/mmm (123)
Crystal system: tetragonal

abc: 5.187 5.187 25.836
angles: 90.00 90.00 90.00
Element x y z (fractional)
Pr: 0.500 0.500 0.000
Pr: 0.500 0.500 0.201
Pr: 0.500 0.500 0.400
Pr: 0.500 0.500 0.600
Pr: 0.500 0.500 0.799
Pr: 0.500 0.000 0.101
Pr: 0.500 0.000 0.301
Pr: 0.500 0.000 0.500
Pr: 0.500 0.000 0.699
Pr: 0.500 0.000 0.899
Pr: 0.000 0.500 0.101
Pr: 0.000 0.500 0.301
Pr: 0.000 0.500 0.500
Pr: 0.000 0.500 0.699
Pr: 0.000 0.500 0.899
Sm: 0.000 0.000 0.000
Tm: 0.000 0.000 0.201
Tm: 0.000 0.000 0.400
Tm: 0.000 0.000 0.600
Tm: 0.000 0.000 0.799

No. 9
The following is a PBE-GGA calculation of crystalline Pr4Sm3Tm at its relaxed geometry, from Alexandria via LeMat-Bulk.

Summary:
N(E_F): 12.14 states/eV/f.u.
Calculated formation energy: 0.1 eV/f.u.
Polymorph energy (0 for the lowest one): 13 meV per atom
Total moment: 0.00 μB per cell
Space-group type: Pmna (53)
Crystal system: orthorhombic

abc: 7.299 7.299 10.344
angles: 90.00 90.00 90.00
Element x y z (fractional)
Pr: 0.000 0.811 0.000
Pr: 0.500 0.310 0.000
Pr: 0.748 0.061 0.750
Pr: 0.252 0.561 0.750
Pr: 0.500 0.810 0.500
Pr: 0.000 0.311 0.500
Pr: 0.252 0.561 0.250
Pr: 0.748 0.061 0.250
Tm: 0.500 0.811 0.000
Tm: 0.500 0.311 0.500
Sm: 0.000 0.310 0.000
Sm: 0.252 0.061 0.750
Sm: 0.748 0.561 0.750
Sm: 0.000 0.810 0.500
Sm: 0.748 0.561 0.250
Sm: 0.252 0.061 0.250

No. 10
The following is a PBE-GGA calculation of crystalline PrSm4Tm at its relaxed geometry, from Alexandria via LeMat-Bulk.

Summary:
N(E_F): 8.39 states/eV/f.u.
Calculated formation energy: 0.1 eV/f.u.
Polymorph energy (0 for the lowest one): 0 meV per atom
Total moment: 0.00 μB per cell
Space-group type: Cmmm (65)
Crystal system: orthorhombic

abc: 8.108 8.108 5.104
angles: 90.00 90.01 36.85
Element x y z (fractional)
Pr: 0.500 0.500 0.500
Sm: 0.334 0.334 0.000
Sm: 0.666 0.666 0.000
Sm: 0.834 0.834 0.500
Sm: 0.166 0.166 0.500
Tm: 0.000 0.000 0.000

No. 11
The following is a PBE-GGA calculation of crystalline Pr12Sm2Tm5 at its relaxed geometry, from Alexandria via LeMat-Bulk.

Summary:
N(E_F): 25.56 states/eV/f.u.
Calculated formation energy: 1.9 eV/f.u.
Polymorph energy (0 for the lowest one): 0 meV per atom
Total moment: 0.00 μB per cell
Space-group type: C2/m (12)
Crystal system: monoclinic

abc: 11.788 10.813 6.262
angles: 100.32 90.00 123.03
Element x y z (fractional)
Pr: 0.121 0.242 0.001
Pr: 0.063 0.605 0.801
Pr: 0.542 0.605 0.801
Pr: 0.143 0.791 0.384
Pr: 0.648 0.791 0.384
Pr: 0.442 0.885 0.727
Pr: 0.558 0.115 0.273
Pr: 0.857 0.209 0.616
Pr: 0.352 0.209 0.616
Pr: 0.937 0.395 0.199
Pr: 0.458 0.395 0.199
Pr: 0.879 0.758 0.999
Sm: 0.771 0.000 0.000
Sm: 0.229 0.000 0.000
Tm: 0.215 0.430 0.551
Tm: 0.321 0.642 0.142
Tm: 0.000 0.000 0.500
Tm: 0.679 0.358 0.858
Tm: 0.785 0.570 0.449

No. 12
The following is a PBE-GGA calculation of crystalline PrSm2Tm at its relaxed geometry, from Alexandria via LeMat-Bulk.

Summary:
N(E_F): 5.27 states/eV/f.u.
Calculated formation energy: 0.1 eV/f.u.
Polymorph energy (0 for the lowest one): 4 meV per atom
Total moment: 0.00 μB per cell
Space-group type: R-3m (166)
Crystal system: trigonal

abc: 3.614 3.614 11.979
angles: 81.32 81.32 60.00
Element x y z (fractional)
Pr: 0.500 0.500 0.500
Tm: 0.000 0.000 0.000
Sm: 0.748 0.748 0.757
Sm: 0.252 0.252 0.243